# CdIn2Au PBE relaxed
data_CdIn2Au
_chemical_formula_sum 'Cd4 In8 Au4'
_space_group_name_H-M_alt 'I -4 2 d'
_space_group_IT_number 122
_space_group_name_Hall 'I -4 2bw'
_cell_length_a 8.283
_cell_length_b 8.283
_cell_length_c 5.936
_cell_angle_alpha 90.00
_cell_angle_beta 90.00
_cell_angle_gamma 90.00
loop_
_atom_site_label
_atom_site_fract_x
_atom_site_fract_y
_atom_site_fract_z
Cd1 0.000 0.000 0.000
In1 0.215 0.250 0.625
Au1 0.000 0.000 0.500
# * ΔE_f: -22 meV per atom
# * N(E_F): 6.6 states/eV/cell
# * V: 407 Å³/cell

# InIr PBE relaxed
data_InIr
_chemical_formula_sum 'In6 Ir6'
_space_group_name_H-M_alt 'P 63/m'
_space_group_IT_number 176
_space_group_name_Hall '-P 6c'
_cell_length_a 9.7937
_cell_length_b 9.7937
_cell_length_c 4.3066
_cell_angle_alpha 90.00
_cell_angle_beta 90.00
_cell_angle_gamma 120.00
loop_
_atom_site_label
_atom_site_fract_x
_atom_site_fract_y
_atom_site_fract_z
In1 0.1653 0.3961 0.2500
Ir1 0.0085 0.4490 0.7500
# * ΔE_f: 366 meV per atom
# * N(E_F): 8.2 states/eV/cell
# * V: 358 Å³/cell

# TbPuAlCd PBE relaxed
data_TbPuAlCd
_chemical_formula_sum 'Tb4 Pu4 Al4 Cd4'
_space_group_name_H-M_alt 'F -4 3 m'
_space_group_IT_number 216
_space_group_name_Hall 'F -4 2 3'
_cell_length_a 7.406
_cell_length_b 7.406
_cell_length_c 7.406
_cell_angle_alpha 90.00
_cell_angle_beta 90.00
_cell_angle_gamma 90.00
loop_
_atom_site_label
_atom_site_fract_x
_atom_site_fract_y
_atom_site_fract_z
Tb1 0.000 0.000 0.000
Pu1 0.000 0.000 0.500
Al1 0.250 0.250 0.750
Cd1 0.250 0.250 0.250
# * ΔE_f: -149 meV per atom
# * N(E_F): 31.5 states/eV/cell
# * V: 406 Å³/cell

# Cs2HfSbI6 PBE relaxed
data_Cs2HfSbI6
_chemical_formula_sum 'Cs8 Hf4 Sb4 I24'
_space_group_name_H-M_alt 'F m -3 m'
_space_group_IT_number 225
_space_group_name_Hall '-F 4 2 3'
_cell_length_a 12.932
_cell_length_b 12.932
_cell_length_c 12.932
_cell_angle_alpha 90.00
_cell_angle_beta 90.00
_cell_angle_gamma 90.00
loop_
_atom_site_label
_atom_site_fract_x
_atom_site_fract_y
_atom_site_fract_z
Cs1 0.250 0.250 0.250
Hf1 0.000 0.000 0.000
Sb1 0.000 0.000 0.500
I1 0.000 0.000 0.222
# * formation energy (no corrections): -0.809 eV per atom
# * N(E_F): 0.0 states/eV/cell
# * V: 2163 Å³/cell

# Nd3Dy4Ho4 PBE relaxed
data_Nd3Dy4Ho4
_chemical_formula_sum 'Nd6 Dy8 Ho8'
_space_group_name_H-M_alt 'I m m m'
_space_group_IT_number 71
_space_group_name_Hall '-I 2 2'
_cell_length_a 3.539
_cell_length_b 11.250
_cell_length_c 18.461
_cell_angle_alpha 90.00
_cell_angle_beta 90.00
_cell_angle_gamma 90.00
loop_
_atom_site_label
_atom_site_fract_x
_atom_site_fract_y
_atom_site_fract_z
Nd1 0.000 0.000 0.000
Nd2 0.000 0.500 0.109
Dy1 0.000 0.000 0.218
Dy2 0.000 0.211 0.500
Ho1 0.000 0.256 0.328
# * ΔE_f: 170 meV per atom
# * N(E_F): 29.2 states/eV/cell
# * V: 735 Å³/cell
# * E above lowest polymorph: 12 meV per atom

# TbPrTmZn PBE relaxed
data_TbPrTmZn
_chemical_formula_sum 'Tb1 Pr1 Tm1 Zn1'
_space_group_name_H-M_alt 'P 4 m m'
_space_group_IT_number 99
_space_group_name_Hall 'P 4 -2'
_cell_length_a 3.582
_cell_length_b 3.582
_cell_length_c 8.741
_cell_angle_alpha 90.00
_cell_angle_beta 90.00
_cell_angle_gamma 90.00
loop_
_atom_site_label
_atom_site_fract_x
_atom_site_fract_y
_atom_site_fract_z
Tb1 0.000 0.000 0.000
Pr1 0.500 0.500 0.303
Tm1 0.000 0.000 0.599
Zn1 0.500 0.500 0.792
# * ΔE_f: -163 meV per atom
# * N(E_F): 4.7 states/eV/cell
# * V: 112 Å³/cell
# * E above lowest polymorph: 0 meV per atom